{
  "formula": "AcLaGaBi",
  "functional": "PBE",
  "state": "optimized geometry",
  "magmom_total_mub_per_cell": 0.0,
  "e_form_ev_per_atom": -0.53,
  "lattice_angstrom": [[5.671, 0.000, 0.000], [2.835, 4.911, 0.000], [2.835, 1.637, 4.630]],
  "species": ["Ga", "Bi", "La", "Ac"],
  "fractional_positions": [[0.750, 0.750, 0.750], [0.250, 0.250, 0.250], [0.000, 0.000, 0.000], [0.500, 0.500, 0.500]]
}

---

{
  "formula": "BiSbSeN2",
  "functional": "PBE",
  "state": "optimized geometry",
  "e_tot_ev_per_atom": -4.18,
  "magmom_total_mub_per_cell": 1.0,
  "lattice_angstrom": [[-4.132, 0.385, 1.282], [-1.030, -3.571, -2.247], [1.119, -3.196, 4.566]],
  "species": ["N", "N", "Sb", "Bi", "Se"],
  "fractional_positions": [[0.500, 0.000, 0.000], [0.000, 0.500, 0.000], [0.500, 0.500, 0.500], [0.000, 0.000, 0.000], [0.000, 0.000, 0.500]]
}

---

{
  "formula": "Na3GaP2O8",
  "functional": "PBE",
  "state": "optimized geometry",
  "e_tot_ev_per_atom": -6.29,
  "magmom_total_mub_per_cell": 0.0,
  "lattice_angstrom": [[8.971, 0.005, -0.002], [0.358, 8.999, -0.006], [3.055, -0.001, 8.861]],
  "species": ["P", "P", "P", "P", "P", "P", "P", "P", "O", "O", "O", "O", "O", "O", "O", "O", "O", "O", "O", "O", "O", "O", "O", "O", "O", "O", "O", "O", "O", "O", "O", "O", "O", "O", "O", "O", "O", "O", "O", "O", "Na", "Na", "Na", "Na", "Na", "Na", "Na", "Na", "Na", "Na", "Na", "Na", "Ga", "Ga", "Ga", "Ga"],
  "fractional_positions": [[0.715, 0.587, 0.454], [0.285, 0.413, 0.546], [0.970, 0.907, 0.710], [0.535, 0.925, 0.266], [0.030, 0.093, 0.290], [0.465, 0.075, 0.734], [0.279, 0.594, 0.016], [0.721, 0.406, 0.984], [0.095, 0.782, 0.653], [0.683, 0.969, 0.306], [0.699, 0.477, 0.590], [0.208, 0.441, 0.048], [0.554, 0.417, 0.115], [0.427, 0.232, 0.809], [0.826, 0.289, 0.031], [0.961, 0.937, 0.360], [0.174, 0.711, 0.969], [0.685, 0.340, 0.844], [0.615, 0.086, 0.590], [0.317, 0.031, 0.694], [0.889, 0.607, 0.366], [0.907, 0.927, 0.882], [0.385, 0.914, 0.410], [0.177, 0.123, 0.340], [0.315, 0.660, 0.156], [0.573, 0.768, 0.191], [0.823, 0.877, 0.660], [0.369, 0.483, 0.648], [0.632, 0.740, 0.523], [0.446, 0.583, 0.885], [0.792, 0.559, 0.952], [0.039, 0.063, 0.640], [0.368, 0.260, 0.477], [0.506, 0.039, 0.155], [0.111, 0.393, 0.634], [0.905, 0.218, 0.347], [0.494, 0.961, 0.845], [0.631, 0.517, 0.352], [0.093, 0.073, 0.118], [0.301, 0.523, 0.410], [0.102, 0.700, 0.411], [0.898, 0.300, 0.589], [0.051, 0.580, 0.818], [0.069, 0.158, 0.891], [0.931, 0.842, 0.109], [0.949, 0.420, 0.182], [0.310, 0.911, 0.070], [0.690, 0.089, 0.930], [0.350, 0.760, 0.679], [0.650, 0.240, 0.321], [0.345, 0.252, 0.128], [0.655, 0.748, 0.872], [0.520, 0.419, 0.753], [0.253, 0.079, 0.510], [0.747, 0.921, 0.490], [0.480, 0.581, 0.247]]
}

---

{
  "formula": "Eu2ZnPb",
  "functional": "PBE",
  "state": "optimized geometry",
  "magmom_total_mub_per_cell": 14.3,
  "e_form_ev_per_atom": -0.41,
  "lattice_angstrom": [[3.808, 0.000, 0.000], [0.000, 3.808, 0.000], [0.000, 0.000, 8.100]],
  "species": ["Eu", "Eu", "Zn", "Pb"],
  "fractional_positions": [[0.000, 0.000, 0.270], [0.000, 0.000, 0.730], [0.500, 0.500, 0.500], [0.500, 0.500, 0.000]]
}

---

{
  "formula": "NaReRuS2",
  "functional": "PBE",
  "state": "optimized geometry",
  "e_tot_ev_per_atom": -5.36,
  "magmom_total_mub_per_cell": 3.6,
  "lattice_angstrom": [[4.805, 0.000, 0.000], [0.000, 4.754, 0.000], [0.000, 0.000, 4.805]],
  "species": ["Re", "S", "S", "Ru", "Na"],
  "fractional_positions": [[0.000, 0.500, 0.000], [0.500, 0.000, 0.000], [0.000, 0.000, 0.500], [0.000, 0.000, 0.000], [0.500, 0.500, 0.500]]
}

---

{
  "formula": "ZnCd",
  "functional": "PBE",
  "state": "optimized geometry",
  "magmom_total_mub_per_cell": 0.0,
  "e_form_ev_per_atom": 0.06,
  "lattice_angstrom": [[6.102, 0.000, 0.000], [0.000, 4.839, 0.000], [0.000, 0.000, 10.535]],
  "species": ["Cd", "Cd", "Cd", "Cd", "Cd", "Cd", "Cd", "Cd", "Zn", "Zn", "Zn", "Zn", "Zn", "Zn", "Zn", "Zn"],
  "fractional_positions": [[0.925, 0.399, 0.677], [0.075, 0.899, 0.823], [0.740, 0.103, 0.045], [0.425, 0.101, 0.323], [0.260, 0.603, 0.455], [0.240, 0.397, 0.955], [0.760, 0.897, 0.545], [0.575, 0.601, 0.177], [0.070, 0.415, 0.204], [0.430, 0.585, 0.704], [0.189, 0.900, 0.096], [0.930, 0.915, 0.296], [0.689, 0.600, 0.904], [0.570, 0.085, 0.796], [0.811, 0.400, 0.404], [0.311, 0.100, 0.596]]
}

---

{
  "formula": "Ba4As2Br",
  "functional": "PBE",
  "state": "optimized geometry",
  "e_tot_ev_per_atom": -3.96,
  "magmom_total_mub_per_cell": 0.0,
  "lattice_angstrom": [[-4.687, 0.656, 0.721], [-2.328, -2.688, 3.206], [0.959, 10.213, 12.834]],
  "species": ["Ba", "Ba", "Ba", "Ba", "As", "As", "Br"],
  "fractional_positions": [[0.287, 0.287, 0.140], [0.713, 0.713, 0.860], [0.118, 0.118, 0.645], [0.882, 0.882, 0.355], [0.416, 0.416, 0.752], [0.584, 0.584, 0.248], [0.000, 0.000, 0.000]]
}

---

{
  "formula": "Dy2Ga3Ag",
  "functional": "PBE",
  "state": "optimized geometry",
  "magmom_total_mub_per_cell": 0.0,
  "e_form_ev_per_atom": -0.57,
  "lattice_angstrom": [[-2.235, 2.350, 3.110], [0.200, -2.384, 5.192], [3.367, 3.655, 2.903]],
  "species": ["Ga", "Ga", "Ga", "Dy", "Dy", "Ag"],
  "fractional_positions": [[0.835, 0.619, 0.711], [0.839, 0.201, 0.120], [0.163, 0.798, 0.877], [0.464, 0.783, 0.289], [0.532, 0.218, 0.718], [0.166, 0.381, 0.286]]
}

---

{
  "formula": "Cu2PRu",
  "functional": "PBE",
  "state": "optimized geometry",
  "magmom_total_mub_per_cell": 0.0,
  "e_form_ev_per_atom": 0.24,
  "lattice_angstrom": [[2.744, 0.012, 0.000], [-1.207, 2.465, 0.000], [0.000, 0.000, 7.934]],
  "species": ["Cu", "Cu", "P", "Ru"],
  "fractional_positions": [[0.000, 0.000, 0.006], [0.500, 0.500, 0.258], [0.000, 0.000, 0.507], [0.500, 0.500, 0.729]]
}

---

{
  "formula": "CeSm5Ho2",
  "functional": "PBE",
  "state": "optimized geometry",
  "magmom_total_mub_per_cell": 1.8,
  "e_form_ev_per_atom": 0.04,
  "lattice_angstrom": [[5.071, 0.000, 0.000], [0.000, 7.182, 0.000], [0.000, 0.000, 14.363]],
  "species": ["Sm", "Sm", "Sm", "Sm", "Sm", "Sm", "Sm", "Sm", "Sm", "Sm", "Ho", "Ho", "Ho", "Ho", "Ce", "Ce"],
  "fractional_positions": [[0.500, 0.753, 0.623], [0.000, 0.000, 0.000], [0.000, 0.498, 0.751], [0.500, 0.747, 0.123], [0.000, 0.502, 0.249], [0.000, 0.500, 0.500], [0.500, 0.253, 0.877], [0.000, 0.998, 0.749], [0.500, 0.247, 0.377], [0.000, 0.002, 0.251], [0.500, 0.245, 0.624], [0.500, 0.745, 0.876], [0.500, 0.255, 0.124], [0.500, 0.755, 0.376], [0.000, 0.000, 0.500], [0.000, 0.500, 0.000]]
}

---

{
  "formula": "MnCuRuAu",
  "functional": "PBE",
  "state": "optimized geometry",
  "magmom_total_mub_per_cell": 3.2,
  "e_form_ev_per_atom": 0.20,
  "lattice_angstrom": [[4.331, 0.000, 0.000], [2.166, 3.751, 0.000], [2.166, 1.250, 3.536]],
  "species": ["Au", "Cu", "Ru", "Mn"],
  "fractional_positions": [[0.750, 0.750, 0.750], [0.000, 0.000, 0.000], [0.250, 0.250, 0.250], [0.500, 0.500, 0.500]]
}

---

{
  "formula": "Sm2Er5Tm12",
  "functional": "PBE",
  "state": "optimized geometry",
  "magmom_total_mub_per_cell": 0.0,
  "e_form_ev_per_atom": 0.13,
  "lattice_angstrom": [[-7.319, 4.699, -2.713], [7.516, -2.503, -9.313], [-4.890, -4.860, 4.774]],
  "species": ["Er", "Er", "Er", "Er", "Er", "Tm", "Tm", "Tm", "Tm", "Tm", "Tm", "Tm", "Tm", "Tm", "Tm", "Tm", "Tm", "Sm", "Sm"],
  "fractional_positions": [[0.000, 0.000, 0.500], [0.233, 0.467, 0.889], [0.303, 0.606, 0.613], [0.697, 0.394, 0.387], [0.767, 0.533, 0.111], [0.976, 0.314, 0.068], [0.556, 0.112, 0.784], [0.819, 0.254, 0.601], [0.565, 0.746, 0.399], [0.662, 0.686, 0.932], [0.338, 0.314, 0.068], [0.094, 0.188, 0.304], [0.444, 0.888, 0.216], [0.435, 0.254, 0.601], [0.181, 0.746, 0.399], [0.906, 0.812, 0.696], [0.024, 0.686, 0.932], [0.315, 0.000, 0.000], [0.685, 0.000, 0.000]]
}